## NdSn12Ir4 (PBE-GGA)

Data for an optimized crystal structure of NdSn12Ir4.

For the total magnetization, the calculation gives 0.000 μB/atom. The uncorrected energy is -183.85 eV per cell. Its calculated formation energy is -3.68 eV per formula unit.

```
data_NdSn12Ir4
_chemical_formula_sum 'Nd2 Sn24 Ir8'
_space_group_name_H-M_alt 'I m -3'
_space_group_IT_number 204
_space_group_name_Hall '-I 2 2 3'
_cell_length_a 9.4793
_cell_length_b 9.4793
_cell_length_c 9.4793
_cell_angle_alpha 90.00
_cell_angle_beta 90.00
_cell_angle_gamma 90.00
loop_
_atom_site_label
_atom_site_type_symbol
_atom_site_fract_x
_atom_site_fract_y
_atom_site_fract_z
_atom_site_occupancy
Nd1 Nd 0.0000 0.0000 0.0000 1
Sn1 Sn 0.0000 0.3384 0.1601 1
Ir1 Ir 0.2500 0.2500 0.2500 1
```

=====

## Tl2ZnPt (PBE-GGA)

Data for an optimized crystal structure of Tl2ZnPt.

For the total magnetization, the calculation gives 0.000 μB/atom. The uncorrected energy is -34.45 eV per cell. Its calculated formation energy is 0.57 eV per formula unit.

```
data_Tl2ZnPt
_chemical_formula_sum 'Tl6 Zn3 Pt3'
_space_group_name_H-M_alt 'R -3 m'
_space_group_IT_number 166
_space_group_name_Hall '-R 3 2"'
_cell_length_a 3.7755
_cell_length_b 3.7755
_cell_length_c 22.9818
_cell_angle_alpha 90.00
_cell_angle_beta 90.00
_cell_angle_gamma 120.00
loop_
_atom_site_label
_atom_site_type_symbol
_atom_site_fract_x
_atom_site_fract_y
_atom_site_fract_z
_atom_site_occupancy
Tl1 Tl 0.0000 0.0000 0.2441 1
Zn1 Zn 0.0000 0.0000 0.0000 1
Pt1 Pt 0.0000 0.0000 0.5000 1
```